Record 1
A plane-wave DFT calculation with GGA-PBE was carried out for a relaxed Al4AgIr crystal.

a = 5.0873 Å, b = 5.0873 Å, c = 5.0873 Å
α = 60.00°, β = 60.00°, γ = 60.00°
Last column: nearest neighbours and their distance in Å.
Element x y z (fractional)
Al1 0.1241 0.1241 0.1241  6 Al 2.52-2.56
Al2 0.1241 0.1241 0.6278  6 Al 2.52-2.56
Al3 0.1241 0.6278 0.1241  6 Al 2.52-2.56
Al4 0.6278 0.1241 0.1241  6 Al 2.52-2.56
Ag1 0.5000 0.5000 0.5000  12 Al 2.98, 4 Ir 3.12
Ir1 0.7500 0.7500 0.7500  12 Al 2.98, 4 Ag 3.12

Calculated values
Magnetization = 0.0 μB per cell
Uncorrected energy = -4.3907 eV per atom
DFT formation energy = 56 meV per atom



Record 2
A plane-wave DFT calculation with GGA-PBE was carried out for a relaxed Sc2GaRh4 crystal.

a = 5.9885 Å, b = 5.9885 Å, c = 6.4909 Å
α = 90.00°, β = 90.00°, γ = 90.00°
Last column: nearest neighbours and their distance in Å.
Element x y z (fractional)
Sc1 0.0000 0.5000 0.0000  8 Rh 2.67
Sc2 0.0000 0.5000 0.5000  8 Rh 2.67
Sc3 0.5000 0.0000 0.0000  8 Rh 2.67
Sc4 0.5000 0.0000 0.5000  8 Rh 2.67
Ga1 0.0000 0.0000 0.0000  8 Rh 2.67
Ga2 0.5000 0.5000 0.5000  8 Rh 2.67
Rh1 0.2500 0.2500 0.2500  4 Sc 2.67, 2 Ga 2.67
Rh2 0.2500 0.2500 0.7500  4 Sc 2.67, 2 Ga 2.67
Rh3 0.2500 0.7500 0.2500  4 Sc 2.67, 2 Ga 2.67
Rh4 0.2500 0.7500 0.7500  4 Sc 2.67, 2 Ga 2.67
Rh5 0.7500 0.2500 0.2500  4 Sc 2.67, 2 Ga 2.67
Rh6 0.7500 0.2500 0.7500  4 Sc 2.67, 2 Ga 2.67
Rh7 0.7500 0.7500 0.2500  4 Sc 2.67, 2 Ga 2.67
Rh8 0.7500 0.7500 0.7500  4 Sc 2.67, 2 Ga 2.67

Calculated values
Magnetization = 0.0 μB per cell
Uncorrected energy = -7.0432 eV per atom
DFT formation energy = -601 meV per atom